No. 1
DFT (PBE) results for an optimized crystal structure of K2Be.

a b c (Å): 4.2542 7.8872 9.0033
angles (deg): 98.49 103.49 89.99
Fractional coordinates of all 6 atoms:
Be  0.2525  0.0207  0.0052
K  0.3374  0.7023  0.1780
K  0.9058  0.2165  0.3191
Be  0.7475  0.9793  0.9948
K  0.0942  0.7835  0.6809
K  0.6626  0.2977  0.8220

**ΔE to the lowest computed polymorph**: 6 meV per atom
**Density**: 1.00 g/cm3
**N(E_F)**: 4.458 states/eV/cell
**Symmetry**: P-1
**Volume**: 145.18 Å³/f.u.
**ΔH_f (0 K)**: 0.4651 eV/atom

***

No. 2
DFT (PBE) results for an optimized crystal structure of Pm3PSe.

a b c (Å): 5.4017 5.4017 5.4017
angles (deg): 90.00 90.00 90.00
Fractional coordinates of all 5 atoms:
Pm  0.0000  0.0000  0.5000
Se  0.5000  0.5000  0.5000
Pm  0.0000  0.5000  0.0000
Pm  0.5000  0.0000  0.0000
P  0.0000  0.0000  0.0000

**Density**: 5.74 g/cm3
**N(E_F)**: 5.380 states/eV/cell
**Symmetry**: Pm-3m
**Volume**: 157.61 Å³/f.u.
**Uncorrected formation energy**: -632.0 meV/atom

***

No. 3
DFT (PBE) results for an optimized crystal structure of CsCaBr2.

a b c (Å): 5.9349 5.9349 5.9349
angles (deg): 60.00 60.00 60.00
Last column: magnetic moment on the atom in μB.
Fractional coordinates of all 4 atoms:
Ca  0.0000  0.0000  0.0000  0.17
Br  0.2500  0.2500  0.2500  0.02
Cs  0.5000  0.5000  0.5000  0.03
Br  0.7500  0.7500  0.7500  0.02

**ΔE to the lowest computed polymorph**: 272 meV per atom
**Density**: 3.74 g/cm3
**N(E_F)**: 2.633 states/eV/cell
**Symmetry**: Fm-3m
**Volume**: 147.82 Å³/f.u.
**Uncorrected formation energy**: -1182.5 meV/atom

***

No. 4
DFT (PBE) results for an optimized crystal structure of K2BaCa.

a b c (Å): 7.4219 4.2359 7.6805
angles (deg): 84.55 90.00 90.00
Fractional coordinates of all 4 atoms:
Ca  0.5000  0.7500  0.7500
Ba  0.5000  0.2500  0.2500
K  0.0000  0.5191  0.5087
K  0.0000  0.9809  0.9913

**ΔE to the lowest computed polymorph**: 50 meV per atom
**Density**: 1.77 g/cm3
**N(E_F)**: 4.778 states/eV/cell
**Symmetry**: P2/m
**Volume**: 240.37 Å³/f.u.
**ΔH_f (0 K)**: 0.1357 eV/atom

***

No. 5
DFT (PBE) results for an optimized crystal structure of BaNa3Re.

a b c (Å): 5.8141 5.8141 5.8141
angles (deg): 90.00 90.00 90.00
Last column: magnetic moment on the atom in μB.
Fractional coordinates of all 5 atoms:
Na  0.0000  0.0000  0.5000  -0.01
Na  0.0000  0.5000  0.0000  -0.01
Re  0.0000  0.0000  0.0000  2.84
Na  0.5000  0.0000  0.0000  0.01
Ba  0.5000  0.5000  0.5000  -0.10

**ΔE to the lowest computed polymorph**: 0 meV per atom
**Density**: 3.32 g/cm3
**N(E_F)**: 9.154 states/eV/cell
**Symmetry**: Pm-3m
**Volume**: 196.54 Å³/f.u.
**ΔH_f (0 K)**: 1.1845 eV/atom

***

No. 6
DFT (PBE) results for an optimized crystal structure of K2TaNb2Se6.

a b c (Å): 6.3449 6.3449 8.4205
angles (deg): 96.00 96.00 121.11
Fractional coordinates of all 11 atoms:
K  0.1764  0.8236  0.0000
Se  0.7399  0.7399  0.7177
Nb  0.6322  0.3678  0.5000
Se  0.2601  0.2601  0.2823
Ta  0.0000  0.0000  0.5000
K  0.8236  0.1764  0.0000
Se  0.0472  0.3886  0.6841
Se  0.6114  0.9528  0.3159
Se  0.3886  0.0472  0.6841
Se  0.9528  0.6114  0.3159
Nb  0.3678  0.6322  0.5000

**Density**: 5.38 g/cm3
**N(E_F)**: 4.262 states/eV/cell
**Symmetry**: C2/m
**Volume**: 283.60 Å³/f.u.
**Uncorrected formation energy**: -944.0 meV/atom

***

No. 7
DFT (PBE) results for an optimized crystal structure of Co2HgW.

a b c (Å): 8.6555 8.6555 8.6555
angles (deg): 19.03 19.03 19.03
Last column: magnetic moment on the atom in μB.
Fractional coordinates of all 4 atoms:
W  0.7500  0.7500  0.7500  0.00
Co  0.4926  0.4926  0.4926  1.05
Hg  0.2500  0.2500  0.2500  -0.02
Co  0.0074  0.0074  0.0074  1.05

**Density**: 13.84 g/cm3
**N(E_F)**: 5.274 states/eV/cell
**Symmetry**: R-3m
**Volume**: 60.26 Å³/f.u.
**ΔH_f (0 K)**: 0.4181 eV/atom

***

No. 8
DFT (PBE) results for an optimized crystal structure of Ba2CaFe.

a b c (Å): 3.9902 3.9902 10.1569
angles (deg): 90.00 90.00 90.00
Last column: magnetic moment on the atom in μB.
Fractional coordinates of all 4 atoms:
Ba  0.0000  0.0000  0.9228  -0.10
Ca  0.0000  0.0000  0.5779  -0.09
Fe  0.5000  0.5000  0.7213  2.86
Ba  0.5000  0.5000  0.2780  0.03

**ΔE to the lowest computed polymorph**: 0 meV per atom
**Density**: 3.81 g/cm3
**N(E_F)**: 6.318 states/eV/cell
**Symmetry**: P4mm
**Volume**: 161.71 Å³/f.u.
**ΔH_f (0 K)**: 0.4236 eV/atom

***

No. 9
DFT (PBE) results for an optimized crystal structure of Tb5Pr4Ho3.

a b c (Å): 5.9627 8.6477 9.7381
angles (deg): 105.49 72.17 69.83
Last column: magnetic moment on the atom in μB.
Fractional coordinates of all 12 atoms:
Ho  0.5228  0.6887  0.2658  0.01
Tb  0.6310  0.9403  0.7978  0.01
Pr  0.1643  0.0524  0.6190  0.00
Pr  0.8611  0.2232  0.0546  0.00
Tb  0.7859  0.5431  0.8850  0.01
Tb  0.5000  0.5000  0.5000  0.15
Pr  0.8357  0.9476  0.3810  0.00
Ho  0.4772  0.3113  0.7342  0.01
Pr  0.1389  0.7768  0.9454  0.00
Tb  0.2141  0.4569  0.1150  0.01
Ho  0.0000  0.5000  0.5000  0.17
Tb  0.3690  0.0597  0.2022  0.01

**Density**: 7.54 g/cm3
**N(E_F)**: 20.145 states/eV/cell
**Symmetry**: C2/m
**Volume**: 407.85 Å³/f.u.
**ΔH_f (0 K)**: 0.2225 eV/atom

***

No. 10
DFT (PBE) results for an optimized crystal structure of VInCl3.

a b c (Å): 4.9770 4.9770 4.9770
angles (deg): 90.00 90.00 90.00
Last column: magnetic moment on the atom in μB.
Fractional coordinates of all 5 atoms:
Cl  0.5000  0.0000  0.0000  0.00
V  0.0000  0.0000  0.0000  2.59
Cl  0.0000  0.5000  0.0000  0.00
Cl  0.0000  0.0000  0.5000  0.00
In  0.5000  0.5000  0.5000  0.01

**ΔE to the lowest computed polymorph**: 59 meV per atom
**Density**: 3.67 g/cm3
**N(E_F)**: 0.758 states/eV/cell
**Symmetry**: Pm-3m
**Volume**: 123.29 Å³/f.u.
**Uncorrected formation energy**: -932.3 meV/atom

***

No. 11
DFT (PBE) results for an optimized crystal structure of Na3TaTe.

a b c (Å): 5.8445 5.8445 5.8445
angles (deg): 90.00 90.00 90.00
Last column: magnetic moment on the atom in μB.
Fractional coordinates of all 5 atoms:
Te  0.5000  0.5000  0.5000  -0.17
Na  0.0000  0.0000  0.5000  0.03
Na  0.5000  0.0000  0.0000  0.05
Ta  0.0000  0.0000  0.0000  2.48
Na  0.0000  0.5000  0.0000  0.04

**ΔE to the lowest computed polymorph**: 365 meV per atom
**Density**: 3.14 g/cm3
**N(E_F)**: 5.848 states/eV/cell
**Symmetry**: Pm-3m
**Volume**: 199.64 Å³/f.u.
**Uncorrected formation energy**: 1238.7 meV/atom

***

No. 12
DFT (PBE) results for an optimized crystal structure of Ba3Se2.

a b c (Å): 7.9769 7.9769 9.1445
angles (deg): 64.14 64.14 60.00
Fractional coordinates of all 10 atoms:
Se  0.1637  0.1637  0.5089
Ba  0.9202  0.2500  0.2500
Se  0.3363  0.3363  0.9911
Se  0.6637  0.6637  0.0089
Ba  0.5798  0.9202  0.2500
Ba  0.2500  0.5798  0.2500
Se  0.8363  0.8363  0.4911
Ba  0.4202  0.0798  0.7500
Ba  0.0798  0.7500  0.7500
Ba  0.7500  0.4202  0.7500

**Density**: 4.35 g/cm3
**N(E_F)**: 6.969 states/eV/cell
**Symmetry**: R-3c
**Volume**: 217.67 Å³/f.u.
**Uncorrected formation energy**: -1519.2 meV/atom

***

No. 13
DFT (PBE) results for an optimized crystal structure of HgIr2Cl.

a b c (Å): 5.2859 5.2859 5.2859
angles (deg): 135.82 135.82 64.26
Last column: magnetic moment on the atom in μB.
Fractional coordinates of all 4 atoms:
Cl  0.2500  0.7500  0.5000  0.06
Ir  0.0000  0.0000  0.0000  0.75
Ir  0.5000  0.5000  0.0000  0.75
Hg  0.7500  0.2500  0.5000  0.00

**ΔE to the lowest computed polymorph**: 849 meV per atom
**Density**: 14.56 g/cm3
**N(E_F)**: 5.680 states/eV/cell
**Symmetry**: I4/mmm
**Volume**: 70.75 Å³/f.u.
**Uncorrected formation energy**: 1156.3 meV/atom